VASP calculation (meta-GGA SCAN) on YCrBrCl2 at its PBEsol-relaxed geometry.

Results
The symmetry is P4/mmm (123). The uncorrected formation energy comes out at -0.052 eV/atom. The value obtained for the volume is 158.02 Å³/f.u. As for the theoretical density: 3.07 Mg/m³. The density of states at the Fermi level is 1.04 states/eV/atom.

Lattice parameters (Å, degrees): 4.436 5.969 5.969 90.00 90.00 90.00
Each line ends with the local moment (μB).
Atoms (fractional coordinates):
Y 0.500 0.500 0.500  -0.77
Cr 0.500 0.000 0.000  4.01
Cl 0.000 0.000 0.500  0.03
Cl 0.000 0.500 0.000  0.03
Br 0.000 0.000 0.000  -0.09


VASP calculation (meta-GGA SCAN) on CsBrCl3 at its PBEsol-relaxed geometry.

Results
The symmetry is C2/c (15). The uncorrected formation energy comes out at -0.958 eV/atom. The value obtained for the volume is 181.16 Å³/f.u. As for the theoretical density: 2.93 Mg/m³. The density of states at the Fermi level is 0.00 states/eV/atom.

Lattice parameters (Å, degrees): 8.402 8.402 10.742 81.77 81.77 76.40
Atoms (fractional coordinates):
Br 0.813 0.187 0.250
Cl 0.644 0.021 0.381
Cl 0.634 0.029 0.877
Cl 0.979 0.356 0.119
Cl 0.971 0.366 0.623
Cs 0.764 0.759 0.147
Cl 0.021 0.644 0.881
Cs 0.759 0.764 0.647
Br 0.187 0.813 0.750
Cl 0.578 0.436 0.933
Cl 0.422 0.564 0.067
Cl 0.564 0.422 0.567
Cl 0.366 0.971 0.123
Cs 0.236 0.241 0.853
Br 0.204 0.796 0.250
Cl 0.029 0.634 0.377
Cl 0.436 0.578 0.433
Br 0.796 0.204 0.750
Cs 0.241 0.236 0.353
Cl 0.356 0.979 0.619


VASP calculation (meta-GGA SCAN) on CsMo3Br3Cl4 at its PBEsol-relaxed geometry.

Results
The symmetry is P31c (159). The uncorrected formation energy comes out at -1.168 eV/atom. The value obtained for the volume is 323.40 Å³/f.u. As for the theoretical density: 4.12 Mg/m³. The density of states at the Fermi level is 0.00 states/eV/atom.

Lattice parameters (Å, degrees): 9.943 9.943 15.110 90.00 90.00 120.00
Atoms (fractional coordinates):
Cl 0.949 0.329 0.182
Br 0.693 0.646 0.911
Mo 0.182 0.665 0.680
Cs 0.000 0.000 0.499
Br 0.954 0.307 0.911
Cl 0.380 0.051 0.182
Mo 0.818 0.484 0.180
Cs 0.000 0.000 0.999
Mo 0.664 0.483 0.320
Cl 0.328 0.379 0.817
Br 0.955 0.648 0.589
Cl 0.667 0.333 0.447
Br 0.307 0.954 0.411
Cl 0.333 0.667 0.552
Br 0.045 0.694 0.089
Br 0.646 0.693 0.411
Cs 0.333 0.667 0.250
Mo 0.819 0.336 0.320
Mo 0.484 0.818 0.680
Cl 0.333 0.667 0.947
Mo 0.665 0.182 0.180
Mo 0.517 0.181 0.320
Cl 0.052 0.672 0.817
Mo 0.336 0.819 0.820
Mo 0.335 0.516 0.680
Br 0.352 0.306 0.589
Cl 0.667 0.333 0.052
Cl 0.672 0.052 0.317
Cl 0.379 0.328 0.317
Cs 0.667 0.333 0.750
Br 0.694 0.045 0.589
Cl 0.329 0.949 0.682
Mo 0.483 0.664 0.820
Cl 0.671 0.620 0.182
Br 0.354 0.046 0.911
Br 0.046 0.354 0.411
Br 0.648 0.955 0.089
Cl 0.620 0.671 0.682
Cl 0.051 0.380 0.682
Mo 0.181 0.517 0.820
Mo 0.516 0.335 0.180
Cl 0.621 0.948 0.817
Cl 0.948 0.621 0.317
Br 0.306 0.352 0.089


VASP calculation (meta-GGA SCAN) on CsP2BrCl at its PBEsol-relaxed geometry.

Results
The symmetry is P4/mmm (123). The uncorrected formation energy comes out at 0.941 eV/atom. The value obtained for the volume is 334.04 Å³/f.u. As for the theoretical density: 1.54 Mg/m³. The density of states at the Fermi level is 2.67 states/eV/atom.

Lattice parameters (Å, degrees): 6.056 7.427 7.427 90.00 90.00 90.00
Each line ends with the local moment (μB).
Atoms (fractional coordinates):
P 0.000 0.500 0.000  1.23
Cs 0.000 0.000 0.000  0.07
Cl 0.500 0.000 0.000  0.23
P 0.000 0.000 0.500  1.23
Br 0.500 0.500 0.500  0.52


VASP calculation (meta-GGA SCAN) on CsReBrCl3 at its PBEsol-relaxed geometry.

Results
The symmetry is Ama2 (40). The uncorrected formation energy comes out at -1.191 eV/atom. The value obtained for the volume is 178.71 Å³/f.u. As for the theoretical density: 4.70 Mg/m³.

Lattice parameters (Å, degrees): 9.982 10.762 9.982 90.00 90.18 90.00
Atoms (fractional coordinates):
Cl 0.901 0.250 0.221
Cl 0.935 0.573 0.664
Cl 0.221 0.750 0.901
Cl 0.664 0.073 0.935
Re 0.988 0.136 0.552
Br 0.087 0.014 0.357
Cs 0.996 0.000 0.996
Re 0.552 0.636 0.988
Re 0.363 0.750 0.085
Re 0.988 0.364 0.552
Br 0.357 0.986 0.087
Cl 0.774 0.399 0.469
Cl 0.181 0.397 0.675
Cs 0.202 0.750 0.567
Cs 0.510 0.250 0.705
Cl 0.469 0.899 0.774
Cl 0.198 0.250 0.131
Cs 0.996 0.500 0.996
Cl 0.935 0.927 0.664
Cl 0.664 0.427 0.935
Br 0.884 0.250 0.749
Br 0.749 0.750 0.884
Br 0.087 0.486 0.357
Cs 0.705 0.750 0.510
Cl 0.131 0.750 0.198
Re 0.085 0.250 0.363
Cl 0.469 0.601 0.774
Re 0.552 0.864 0.988
Cl 0.181 0.103 0.675
Cl 0.306 0.250 0.429
Br 0.357 0.514 0.087
Cl 0.774 0.101 0.469
Cs 0.567 0.250 0.202
Cl 0.675 0.897 0.181
Cl 0.429 0.750 0.306
Cl 0.675 0.603 0.181


VASP calculation (meta-GGA SCAN) on Cu3BrCl at its PBEsol-relaxed geometry.

Results
The symmetry is Pm-3m (221). The uncorrected formation energy comes out at 0.535 eV/atom. The value obtained for the volume is 91.60 Å³/f.u. As for the theoretical density: 5.55 Mg/m³. The density of states at the Fermi level is 0.29 states/eV/atom.

Lattice parameters (Å, degrees): 4.508 4.508 4.508 90.00 90.00 90.00
Atoms (fractional coordinates):
Cu 0.000 0.500 0.000
Cu 0.000 0.000 0.500
Br 0.500 0.500 0.500
Cl 0.000 0.000 0.000
Cu 0.500 0.000 0.000